1.
The following is a DFT calculation (GGA-PBEsol) of TiTlPd3 after structural relaxation.

The structure in POSCAR format:
```
TiTlPd3
1.0
4.649 0.000 0.000
0.000 4.649 0.000
0.000 0.000 4.649
Ti Tl Pd
1 1 3
Cartesian
0.000 0.000 0.000
2.324 2.324 2.324
0.000 0.000 2.324
0.000 2.324 0.000
2.324 0.000 0.000
```

final energy: -26.609 eV/cell
D(E_F): 0.700 states/eV per atom
energy above the most stable polymorph in this dataset: 0.0000 eV per atom

2.
The following is a DFT calculation (GGA-PBEsol) of CoMoRu2 after structural relaxation.

The structure in POSCAR format:
```
CoMoRu2
1.0
3.735 0.000 0.000
0.000 3.735 0.000
0.000 0.000 3.699
Co Mo Ru
1 1 2
Cartesian
0.000 0.000 0.000
1.867 1.867 0.000
0.000 1.867 1.850
1.867 0.000 1.850
```

final energy: -39.867 eV/cell
D(E_F): 0.992 states/eV per atom
energy above the most stable polymorph in this dataset: 0.0000 eV per atom

3.
The following is a DFT calculation (GGA-PBEsol) of LiReP2 after structural relaxation.

The structure in POSCAR format:
```
LiReP2
1.0
3.130 0.000 0.000
0.000 3.680 0.000
0.000 0.000 4.428
Li Re P
1 1 2
Cartesian
0.000 0.000 0.000
1.565 0.000 2.214
0.000 1.840 2.214
1.565 1.840 0.000
```

final energy: -26.364 eV/cell
D(E_F): 0.509 states/eV per atom
energy above the most stable polymorph in this dataset: 0.0130 eV per atom

4.
The following is a DFT calculation (GGA-PBEsol) of BaLiAg2 after structural relaxation.

The structure in POSCAR format:
```
BaLiAg2
1.0
2.321 1.340 5.642
-2.321 1.340 5.642
0.000 -2.680 5.642
Ba Li Ag
1 1 2
Cartesian
0.000 0.000 0.000
0.000 0.000 8.462
0.000 0.000 3.341
0.000 0.000 13.584
```

final energy: -11.553 eV/cell
D(E_F): 0.364 states/eV per atom
energy above the most stable polymorph in this dataset: 0.0000 eV per atom

5.
The following is a DFT calculation (GGA-PBEsol) of MgCo2Sb after structural relaxation.

The structure in POSCAR format:
```
MgCo2Sb
1.0
3.058 0.000 0.000
0.000 3.058 0.000
0.000 0.000 6.922
Mg Co Sb
1 2 1
Cartesian
0.000 0.000 0.000
0.000 0.000 4.205
1.529 1.529 5.319
1.529 1.529 2.638
```

formation energy (no corrections): 0.145 eV/atom
final energy: -21.168 eV/cell
D(E_F): 1.096 states/eV per atom

6.
The following is a DFT calculation (GGA-PBEsol) of Li3V4SnO12 after structural relaxation.

The structure in POSCAR format:
```
Li3V4SnO12
1.0
5.008 0.000 0.000
0.025 5.310 0.000
0.002 0.588 7.312
Li V Sn O
3 4 1 12
Cartesian
0.000 0.000 0.000
0.002 0.329 3.734
2.485 2.598 0.004
0.045 3.287 2.018
2.431 0.706 5.860
2.571 0.556 2.016
4.933 3.451 5.898
2.513 2.890 3.707
0.564 3.217 0.354
0.973 5.242 5.487
1.019 1.783 2.686
1.536 4.388 2.714
1.594 2.630 5.488
1.942 0.513 0.350
3.087 0.902 4.083
3.448 2.272 1.836
3.502 4.673 6.280
4.034 4.877 1.783
4.050 2.050 6.315
4.392 3.556 4.052
```

formation energy (no corrections): -2.212 eV/atom
final energy: -155.934 eV/cell
D(E_F): 0.260 states/eV per atom

7.
The following is a DFT calculation (GGA-PBEsol) of AlCrP2O after structural relaxation.

The structure in POSCAR format:
```
AlCrP2O
1.0
4.607 0.000 0.000
0.000 4.607 0.000
0.000 0.000 3.433
Al Cr P O
1 1 2 1
Cartesian
0.000 0.000 0.000
2.304 2.304 1.717
0.000 2.304 1.717
2.304 0.000 1.717
2.304 2.304 0.000
```

formation energy (no corrections): -0.312 eV/atom
final energy: -32.726 eV/cell
D(E_F): 0.469 states/eV per atom

8.
The following is a DFT calculation (GGA-PBEsol) of Li2AlAg after structural relaxation.

The structure in POSCAR format:
```
Li2AlAg
1.0
0.000 3.111 3.111
3.111 0.000 3.111
3.111 3.111 0.000
Li Al Ag
2 1 1
Cartesian
0.000 0.000 0.000
1.556 1.556 1.556
3.111 3.111 3.111
4.667 4.667 4.667
```

final energy: -12.337 eV/cell
D(E_F): 0.293 states/eV per atom

9.
The following is a DFT calculation (GGA-PBEsol) of Be2RePd after structural relaxation.

The structure in POSCAR format:
```
Be2RePd
1.0
0.000 2.811 2.811
2.811 0.000 2.811
2.811 2.811 0.000
Be Re Pd
2 1 1
Cartesian
1.405 1.405 1.405
4.216 4.216 4.216
0.000 0.000 0.000
2.811 2.811 2.811
```

final energy: -27.275 eV/cell
D(E_F): 1.395 states/eV per atom
energy above the most stable polymorph in this dataset: 0.0000 eV per atom

10.
The following is a DFT calculation (GGA-PBEsol) of MgInAu2 after structural relaxation.

The structure in POSCAR format:
```
MgInAu2
1.0
3.571 0.000 0.000
0.000 3.733 0.000
0.000 0.000 5.652
Mg In Au
1 1 2
Cartesian
0.000 0.000 0.000
1.786 1.867 3.898
0.000 0.000 2.745
1.786 1.867 1.064
```

final energy: -13.923 eV/cell
D(E_F): 0.233 states/eV per atom

11.
The following is a DFT calculation (GGA-PBEsol) of CoSbPt2I after structural relaxation.

The structure in POSCAR format:
```
CoSbPt2I
1.0
4.857 0.000 0.000
0.000 4.857 0.000
0.000 0.000 5.986
Co Sb Pt I
1 1 2 1
Cartesian
0.000 0.000 0.000
2.428 2.428 2.993
0.000 2.428 2.993
2.428 0.000 2.993
2.428 2.428 0.000
```

formation energy (no corrections): 1.398 eV/atom
final energy: -20.998 eV/cell
D(E_F): 1.503 states/eV per atom

12.
The following is a DFT calculation (GGA-PBEsol) of Li2CaRu after structural relaxation.

The structure in POSCAR format:
```
Li2CaRu
1.0
-1.976 1.976 9.786
1.976 -1.976 9.786
1.976 1.976 -9.786
Li Ca Ru
4 2 2
Cartesian
0.988 0.759 -2.446
1.217 -0.988 12.232
0.988 1.217 7.339
0.759 2.964 2.446
1.976 0.000 4.893
0.000 0.000 9.786
0.000 0.000 0.000
0.000 1.976 4.893
```

final energy: -28.110 eV/cell
D(E_F): 0.778 states/eV per atom
energy above the most stable polymorph in this dataset: 0.1483 eV per atom

13.
The following is a DFT calculation (GGA-PBEsol) of SrOs2F after structural relaxation.

The structure in POSCAR format:
```
SrOs2F
1.0
0.000 3.256 3.256
3.256 0.000 3.256
3.256 3.256 0.000
Sr Os F
1 2 1
Cartesian
0.000 0.000 0.000
1.628 1.628 1.628
4.884 4.884 4.884
3.256 3.256 3.256
```

formation energy (no corrections): 1.780 eV/atom
final energy: -21.079 eV/cell
D(E_F): 0.998 states/eV per atom

14.
The following is a DFT calculation (GGA-PBEsol) of MgTl2Cd after structural relaxation.

The structure in POSCAR format:
```
MgTl2Cd
1.0
3.512 0.000 0.000
0.000 3.512 0.000
0.000 0.000 8.000
Mg Tl Cd
1 2 1
Cartesian
0.000 0.000 0.000
1.756 1.756 1.988
1.756 1.756 6.012
0.000 0.000 4.000
```

final energy: -8.129 eV/cell
D(E_F): 0.520 states/eV per atom
energy above the most stable polymorph in this dataset: 0.0295 eV per atom

15.
The following is a DFT calculation (GGA-PBEsol) of Y2ZrMo after structural relaxation.

The structure in POSCAR format:
```
Y2ZrMo
1.0
4.257 0.000 0.000
0.000 4.257 0.000
0.000 0.000 4.967
Y Zr Mo
2 1 1
Cartesian
0.000 2.129 0.000
2.129 0.000 0.000
0.000 0.000 2.484
2.129 2.129 2.484
```

final energy: -32.966 eV/cell
D(E_F): 0.981 states/eV per atom
energy above the most stable polymorph in this dataset: 0.0372 eV per atom

16.
The following is a DFT calculation (GGA-PBEsol) of CaZn after structural relaxation.

The structure in POSCAR format:
```
CaZn
1.0
0.000 3.021 3.021
3.021 0.000 3.021
3.021 3.021 0.000
Ca Zn
1 1
Cartesian
0.000 0.000 0.000
3.021 3.021 3.021
```

final energy: -3.709 eV/cell
D(E_F): 0.650 states/eV per atom

17.
The following is a DFT calculation (GGA-PBEsol) of NbTl3Cl after structural relaxation.

The structure in POSCAR format:
```
NbTl3Cl
1.0
5.485 0.000 0.000
0.000 5.485 0.000
0.000 0.000 5.485
Nb Tl Cl
1 3 1
Cartesian
0.000 0.000 0.000
0.000 0.000 2.743
0.000 2.743 0.000
2.743 0.000 0.000
2.743 2.743 2.743
```

formation energy (no corrections): 0.503 eV/atom
final energy: -18.206 eV/cell
D(E_F): 0.898 states/eV per atom

18.
The following is a DFT calculation (GGA-PBEsol) of La2InCl after structural relaxation.

The structure in POSCAR format:
```
La2InCl
1.0
0.000 3.780 3.780
3.780 0.000 3.780
3.780 3.780 0.000
La In Cl
2 1 1
Cartesian
0.000 0.000 0.000
1.890 1.890 1.890
3.780 3.780 3.780
5.670 5.670 5.670
```

formation energy (no corrections): -0.320 eV/atom
final energy: -16.965 eV/cell
D(E_F): 0.949 states/eV per atom
energy above the most stable polymorph in this dataset: 0.6912 eV per atom

19.
The following is a DFT calculation (GGA-PBEsol) of La2MgI8 after structural relaxation.

The structure in POSCAR format:
```
La2MgI8
1.0
7.833 -4.741 0.000
7.833 4.741 0.000
-5.261 0.000 11.963
La Mg I
4 2 16
Cartesian
0.057 2.537 9.721
7.718 2.537 8.223
2.687 -2.537 3.740
10.349 -2.537 2.242
3.887 4.722 8.972
6.518 -4.722 2.991
-1.452 0.600 7.501
2.414 2.704 7.636
5.521 2.562 1.097
1.179 -0.600 1.520
5.361 2.704 10.308
7.515 2.562 4.884
3.985 0.255 4.294
1.355 -0.255 10.275
9.051 0.255 1.688
6.420 -0.255 7.669
2.891 -2.562 7.079
5.044 -2.704 1.655
9.226 0.600 10.443
4.884 -2.562 10.866
7.992 -2.704 4.327
11.857 -0.600 4.462
```

formation energy (no corrections): -1.320 eV/atom
final energy: -82.119 eV/cell
D(E_F): 0.000 states/eV per atom

20.
The following is a DFT calculation (GGA-PBEsol) of CaOsPt2 after structural relaxation.

The structure in POSCAR format:
```
CaOsPt2
1.0
-1.383 2.362 5.116
1.383 -2.362 5.116
1.383 2.362 -5.116
Ca Os Pt
1 1 2
Cartesian
0.000 0.000 0.000
1.383 0.000 2.823
0.000 0.000 5.066
0.000 2.362 2.360
```

final energy: -28.237 eV/cell
D(E_F): 1.051 states/eV per atom
energy above the most stable polymorph in this dataset: 0.0827 eV per atom

21.
The following is a DFT calculation (GGA-PBEsol) of CaTlNiB2 after structural relaxation.

The structure in POSCAR format:
```
CaTlNiB2
1.0
4.049 0.000 0.000
0.000 4.049 0.000
0.000 0.000 4.886
Ca Tl Ni B
1 1 1 2
Cartesian
0.000 0.000 0.000
2.024 2.024 0.000
2.024 2.024 2.443
0.000 2.024 2.443
2.024 0.000 2.443
```

final energy: -21.691 eV/cell
D(E_F): 0.535 states/eV per atom

22.
The following is a DFT calculation (GGA-PBEsol) of Y2OsCl after structural relaxation.

The structure in POSCAR format:
```
Y2OsCl
1.0
3.335 0.000 0.000
0.000 3.391 0.000
0.000 0.000 7.931
Y Os Cl
2 1 1
Cartesian
0.000 0.000 1.651
0.000 0.000 6.280
1.667 1.696 0.000
1.667 0.000 3.965
```

formation energy (no corrections): -0.900 eV/atom
final energy: -31.468 eV/cell
D(E_F): 0.382 states/eV per atom
energy above the most stable polymorph in this dataset: 0.0000 eV per atom

23.
The following is a DFT calculation (GGA-PBEsol) of BSb2Pt2 after structural relaxation.

The structure in POSCAR format:
```
BSb2Pt2
1.0
5.704 0.000 0.000
0.000 5.704 0.000
0.000 0.000 5.548
B Sb Pt
2 4 4
Cartesian
0.000 0.000 0.000
2.852 2.852 0.000
1.106 1.746 2.774
1.746 4.598 2.774
3.958 1.106 2.774
4.598 3.958 2.774
0.985 1.867 0.000
1.867 4.719 0.000
3.837 0.985 0.000
4.719 3.837 0.000
```

formation energy (no corrections): -0.072 eV/atom
final energy: -60.841 eV/cell
D(E_F): 0.410 states/eV per atom

24.
The following is a DFT calculation (GGA-PBEsol) of BeSbAs2 after structural relaxation.

The structure in POSCAR format:
```
BeSbAs2
1.0
-2.840 2.840 5.603
2.840 -2.840 5.603
2.840 2.840 -5.603
Be Sb As
2 2 4
Cartesian
0.000 0.000 0.000
0.000 2.840 2.801
2.840 0.000 2.801
0.000 0.000 5.603
4.260 0.980 -1.401
0.980 1.420 1.401
-1.420 1.859 4.202
1.859 1.420 7.004
```

formation energy (no corrections): 0.076 eV/atom
final energy: -36.931 eV/cell
D(E_F): 0.459 states/eV per atom
energy above the most stable polymorph in this dataset: 0.0192 eV per atom

25.
The following is a DFT calculation (GGA-PBEsol) of Li2CoIr after structural relaxation.

The structure in POSCAR format:
```
Li2CoIr
1.0
2.619 0.000 0.000
0.000 4.241 0.000
0.000 0.000 4.346
Li Co Ir
2 1 1
Cartesian
0.000 0.000 0.000
1.310 2.121 0.000
0.000 2.121 2.173
1.310 0.000 2.173
```

final energy: -21.562 eV/cell
D(E_F): 0.703 states/eV per atom
energy above the most stable polymorph in this dataset: 0.0069 eV per atom

26.
The following is a DFT calculation (GGA-PBEsol) of TaRe3Mo after structural relaxation.

The structure in POSCAR format:
```
TaRe3Mo
1.0
4.625 0.000 0.000
0.000 4.625 0.000
0.000 0.000 4.625
Ta Re Mo
1 3 1
Cartesian
0.000 0.000 0.000
0.000 0.000 2.312
0.000 2.312 0.000
2.312 0.000 0.000
2.312 2.312 2.312
```

final energy: -51.477 eV/cell
D(E_F): 1.152 states/eV per atom

27.
The following is a DFT calculation (GGA-PBEsol) of PPb2Cl after structural relaxation.

The structure in POSCAR format:
```
PPb2Cl
1.0
3.771 -3.772 0.000
3.771 3.772 0.000
-0.013 0.000 3.330
P Pb Cl
1 2 1
Cartesian
0.000 0.000 0.000
1.879 1.886 1.665
1.879 -1.886 1.665
3.771 0.000 0.000
```

formation energy (no corrections): -0.125 eV/atom
final energy: -16.297 eV/cell
D(E_F): 0.433 states/eV per atom
energy above the most stable polymorph in this dataset: 0.2738 eV per atom